[1]
The following is a DFT calculation (PBE) of Hf3ScSb4 after structural relaxation.

Values from the calculation:
For the volume, the calculation gives 27.788 Å³ per atom. The calculated total energy comes out at -6.88 eV per atom. For the energy relative to the elements, uncorrected, the calculation gives -0.291 eV/atom.

Unit cell a=5.7329 b=9.1682 c=8.4590 alpha=90.00 beta=90.00 gamma=90.00
Last column: nearest neighbours and their distance in Å.
Fractional positions:
Hf  0.2500  0.0547  0.1501  5 Sb 2.83-2.95
Hf  0.2500  0.2500  0.7711  5 Sb 2.87-2.90
Hf  0.2500  0.4453  0.1501  5 Sb 2.83-2.95
Hf  0.7500  0.5547  0.8499  5 Sb 2.83-2.95
Hf  0.7500  0.7500  0.2289  5 Sb 2.87-2.90
Hf  0.7500  0.9453  0.8499  5 Sb 2.83-2.95
Sc  0.2500  0.7500  0.5792  5 Sb 2.81-2.92
Sc  0.7500  0.2500  0.4208  5 Sb 2.81-2.92
Sb  0.2500  0.2500  0.4279  2 Sc 2.87, 3 Hf 2.90-2.95
Sb  0.2500  0.5570  0.8377  1 Sc 2.81, 4 Hf 2.83-2.87
Sb  0.2500  0.7500  0.2345  4 Hf 2.87-2.88, 1 Sc 2.92
Sb  0.2500  0.9430  0.8377  1 Sc 2.81, 4 Hf 2.83-2.87
Sb  0.7500  0.0570  0.1623  1 Sc 2.81, 4 Hf 2.83-2.87
Sb  0.7500  0.2500  0.7655  4 Hf 2.87-2.88, 1 Sc 2.92
Sb  0.7500  0.4430  0.1623  1 Sc 2.81, 4 Hf 2.83-2.87
Sb  0.7500  0.7500  0.5721  2 Sc 2.87, 3 Hf 2.90-2.95



[2]
The following is a DFT calculation (PBE) of ZrAlHg2 after structural relaxation.

Values from the calculation:
The calculation puts the formation energy from the elements at -0.004 eV/atom. For the volume, the calculation gives 21.314 Å³ per atom. The calculated total energy comes out at -3.23 eV per atom.

Unit cell a=5.9652 b=5.9652 c=5.9652 alpha=144.56 beta=135.68 gamma=57.98
Last column: nearest neighbours and their distance in Å.
Fractional positions:
Zr  0.0000  0.0000  0.0000  2 Al 2.95, 6 Hg 2.98-3.16
Al  0.2223  0.7223  0.5000  6 Hg 2.82-2.89, 2 Zr 2.95
Hg  0.4291  0.4291  0.0000  2 Al 2.82, 4 Zr 2.98
Hg  0.7131  0.2131  0.5000  4 Al 2.89, 2 Zr 3.16, 2 Hg 3.18



[3]
The following is a DFT calculation (PBE) of Mo2PtSe after structural relaxation.

Values from the calculation:
For the volume, the calculation gives 16.040 Å³ per atom. The calculated total energy comes out at -7.47 eV per atom. For the energy relative to the elements, uncorrected, the calculation gives 0.326 eV/atom.

Unit cell a=5.0180 b=5.0180 c=5.0180 alpha=134.07 beta=134.07 gamma=66.97
Last column: nearest neighbours and their distance in Å.
Fractional positions:
Mo  0.0000  0.0000  0.0000  4 Se 2.77, 4 Mo 2.87, 4 Pt 2.87
Mo  0.7500  0.2500  0.5000  4 Pt 2.77, 4 Mo 2.87, 4 Se 2.87
Pt  0.2500  0.7500  0.5000  8 Mo 2.77-2.87, 4 Se 2.87
Se  0.5000  0.5000  0.0000  8 Mo 2.77-2.87, 4 Pt 2.87



[4]
The following is a DFT calculation (PBE) of TbDy2ScSe6 after structural relaxation.

Values from the calculation:
For the volume, the calculation gives 28.069 Å³ per atom. The calculated total energy comes out at -5.91 eV per atom. For the energy relative to the elements, uncorrected, the calculation gives -1.798 eV/atom.

Unit cell a=7.6112 b=7.6112 c=7.6112 alpha=55.70 beta=55.70 gamma=55.70
Last column: nearest neighbours and their distance in Å.
Fractional positions:
Tb  0.0000  0.0000  0.0000  6 Se 2.84-2.92
Dy  0.3021  0.3021  0.3021  6 Se 2.85-2.90
Dy  0.8048  0.8048  0.8048  6 Se 2.83-2.91
Sc  0.4965  0.4965  0.4965  6 Se 2.72-2.76
Se  0.1080  0.7057  0.4006  1 Sc 2.76, 2 Dy 2.83-2.90, 1 Tb 2.84
Se  0.2249  0.5988  0.8822  1 Sc 2.72, 2 Dy 2.85-2.91, 1 Tb 2.92
Se  0.4006  0.1080  0.7057  1 Sc 2.76, 2 Dy 2.83-2.90, 1 Tb 2.84
Se  0.5988  0.8822  0.2249  1 Sc 2.72, 2 Dy 2.85-2.91, 1 Tb 2.92
Se  0.7057  0.4006  0.1080  1 Sc 2.76, 2 Dy 2.83-2.90, 1 Tb 2.84
Se  0.8822  0.2249  0.5988  1 Sc 2.72, 2 Dy 2.85-2.91, 1 Tb 2.92



- volume of number 1 (Hf3ScSb4)?
  27.788 Å³ per atom



- Which value of calculated total energy does entry 2 give?
  -3.23 eV per atom



Please write out number 4 again, unchanged.
The following is a DFT calculation (PBE) of TbDy2ScSe6 after structural relaxation.

Values from the calculation:
For the volume, the calculation gives 28.069 Å³ per atom. The calculated total energy comes out at -5.91 eV per atom. For the energy relative to the elements, uncorrected, the calculation gives -1.798 eV/atom.

Unit cell a=7.6112 b=7.6112 c=7.6112 alpha=55.70 beta=55.70 gamma=55.70
Last column: nearest neighbours and their distance in Å.
Fractional positions:
Tb  0.0000  0.0000  0.0000  6 Se 2.84-2.92
Dy  0.3021  0.3021  0.3021  6 Se 2.85-2.90
Dy  0.8048  0.8048  0.8048  6 Se 2.83-2.91
Sc  0.4965  0.4965  0.4965  6 Se 2.72-2.76
Se  0.1080  0.7057  0.4006  1 Sc 2.76, 2 Dy 2.83-2.90, 1 Tb 2.84
Se  0.2249  0.5988  0.8822  1 Sc 2.72, 2 Dy 2.85-2.91, 1 Tb 2.92
Se  0.4006  0.1080  0.7057  1 Sc 2.76, 2 Dy 2.83-2.90, 1 Tb 2.84
Se  0.5988  0.8822  0.2249  1 Sc 2.72, 2 Dy 2.85-2.91, 1 Tb 2.92
Se  0.7057  0.4006  0.1080  1 Sc 2.76, 2 Dy 2.83-2.90, 1 Tb 2.84
Se  0.8822  0.2249  0.5988  1 Sc 2.72, 2 Dy 2.85-2.91, 1 Tb 2.92



- Which of these has the lowest volume?
  Mo2PtSe